Compound: CaAgHgPd
Source: the Alexandria database
Functional: PBE
Structure: optimized geometry Values from VASP.

Structure (Quantum ESPRESSO input):
```
&SYSTEM
  ibrav = 0, nat = 4, ntyp = 4
/
ATOMIC_SPECIES
Pd 106.42 Pd.upf
Hg 200.59 Hg.upf
Ag 107.87 Ag.upf
Ca 40.08 Ca.upf
CELL_PARAMETERS angstrom
-2.544 -2.039 3.646
1.656 -4.061 2.165
1.707 0.192 4.579
ATOMIC_POSITIONS crystal
Pd 0.750 0.750 0.750
Hg 0.000 0.000 0.000
Ag 0.250 0.250 0.250
Ca 0.500 0.500 0.500
```

Space group   F-43m
N(E_F)   1.86 states/eV/f.u.
Formation energy from the elements   -369 meV/atom

---

Compound: Ba6NaIrAu
Source: the Alexandria database
Functional: PBE
Structure: optimized geometry Values from VASP.

Structure (Quantum ESPRESSO input):
```
&SYSTEM
  ibrav = 0, nat = 18, ntyp = 4
/
ATOMIC_SPECIES
Au 196.97 Au.upf
Na 22.99 Na.upf
Ba 137.33 Ba.upf
Ir 192.22 Ir.upf
CELL_PARAMETERS angstrom
-0.107 1.530 8.194
1.063 -7.790 -2.773
15.705 2.217 -0.209
ATOMIC_POSITIONS crystal
Au 0.333 0.667 0.250
Na 0.000 0.000 0.500
Ba 0.378 0.358 0.361
Ba 0.019 0.642 0.861
Ba 0.981 0.622 0.361
Ba 0.019 0.378 0.639
Ba 0.622 0.981 0.861
Ba 0.378 0.019 0.139
Ba 0.981 0.358 0.139
Ba 0.642 0.622 0.139
Ir 0.667 0.333 0.250
Ir 0.333 0.667 0.750
Ba 0.358 0.981 0.639
Ba 0.622 0.642 0.639
Au 0.667 0.333 0.750
Ba 0.358 0.378 0.861
Na 0.000 0.000 0.000
Ba 0.642 0.019 0.361
```

Space group   P-31c
N(E_F)   6.17 states/eV/f.u.
Formation energy from the elements   -226 meV/atom

---

Compound: Be17VCr
Source: the Alexandria database
Functional: PBE
Structure: optimized geometry Values from VASP.

Structure (Quantum ESPRESSO input):
```
&SYSTEM
  ibrav = 0, nat = 19, ntyp = 3
/
ATOMIC_SPECIES
Cr 52.00 Cr.upf
Be 9.01 Be.upf
V 50.94 V.upf
CELL_PARAMETERS angstrom
5.422 0.023 0.666
0.592 5.390 0.666
0.026 0.023 5.463
ATOMIC_POSITIONS crystal
Cr 0.335 0.335 0.335
Be 0.651 0.651 0.163
Be 0.163 0.651 0.651
Be 0.349 0.349 0.842
V 0.664 0.664 0.664
Be 0.001 0.302 0.697
Be 0.302 0.697 0.001
Be 0.101 0.101 0.101
Be 0.001 0.697 0.302
Be 0.302 0.001 0.697
Be 0.842 0.349 0.349
Be 0.900 0.900 0.900
Be 0.997 0.997 0.502
Be 0.502 0.997 0.997
Be 0.697 0.001 0.302
Be 0.349 0.842 0.349
Be 0.997 0.502 0.997
Be 0.651 0.163 0.651
Be 0.697 0.302 0.001
```

Space group   R3m
N(E_F)   4.04 states/eV/f.u.
Formation energy from the elements   -104 meV/atom

---

Compound: NaPdCl
Source: the Alexandria database
Functional: PBE
Structure: optimized geometry Values from VASP.

Structure (Quantum ESPRESSO input):
```
&SYSTEM
  ibrav = 0, nat = 6, ntyp = 3
/
ATOMIC_SPECIES
Na 22.99 Na.upf
Cl 35.45 Cl.upf
Pd 106.42 Pd.upf
CELL_PARAMETERS angstrom
-2.598 2.651 -2.170
3.207 -2.011 -2.038
-4.815 -6.042 -1.616
ATOMIC_POSITIONS crystal
Na 0.000 0.000 0.500
Cl 0.333 0.667 0.750
Na 0.000 0.000 0.000
Pd 0.667 0.333 0.750
Cl 0.667 0.333 0.250
Pd 0.333 0.667 0.250
```

Energy above the most stable polymorph in this dataset   289 meV/atom
Formation energy without anion corrections   -0.489 eV/atom
Space group   P6_3/mmc
N(E_F)   0.82 states/eV/f.u.